First-principles (PBE) data for a relaxed KIrSeO crystal, as listed in the Open Quantum Materials Database.

abc: 4.2176 6.9322 6.6382
angles: 90.00 90.00 90.00
Closest atoms and distances in Å follow each position.
Positions (direct):
K1 0.0000 0.1722 0.0000  2 O 2.58
K2 0.0000 0.8278 0.5000  2 O 2.58
Ir1 0.5000 0.4461 0.3830  2 O 1.94-1.98
Ir2 0.5000 0.5539 0.8830  2 O 1.94-1.98
Se1 0.0000 0.3065 0.4926  2 Ir 2.43
Se2 0.0000 0.6935 0.9926  2 Ir 2.43
O1 0.5000 0.3629 0.1040  2 Ir 1.94-1.98
O2 0.5000 0.6371 0.6040  2 Ir 1.94-1.98

calculated volume	194.1	Å³ per cell
space group	Pmc2_1, No. 26
electronic total energy	-5.1650	eV/atom
crystal system	orthorhombic